No. 1
{"formula": "CaSc2Re", "functional": "GGA-PBE", "state": "optimized geometry", "final_energy_ev_per_atom": -6.398, "crystal_system": "orthorhombic", "sg": "Cmm2", "de_polymorph_ev_per_atom": 0.360, "cell": [[3.0582, -0.0072, 0.0000], [-1.0183, 2.8837, 0.0000], [0.0000, 0.0000, 10.2109]], "species": ["Sc", "Sc", "Re", "Ca"], "fractional_positions": [[0.0000, 0.0000, 0.9625], [0.5000, 0.5000, 0.2324], [0.5000, 0.5000, 0.7675], [0.0000, 0.0000, 0.5376]]}

No. 2
{"formula": "CaSc2Re", "functional": "GGA-PBE", "state": "optimized geometry", "final_energy_ev_per_atom": -5.735, "crystal_system": "tetragonal", "sg": "I4_1/amd", "de_polymorph_ev_per_atom": 1.023, "cell": [[-6.0375, 0.8628, 3.9668], [-4.0368, -2.0280, -5.7029], [-4.6843, -6.2794, 0.9081]], "species": ["Sc", "Sc", "Sc", "Sc", "Re", "Re", "Ca", "Ca"], "fractional_positions": [[0.8750, 0.1250, 0.2500], [0.8750, 0.6250, 0.2500], [0.3750, 0.1250, 0.7500], [0.8750, 0.1250, 0.7500], [0.0000, 0.0000, 0.0000], [0.7500, 0.2500, 0.5000], [0.5000, 0.5000, 0.0000], [0.2500, 0.7500, 0.5000]]}

No. 3
{"formula": "CaSc2Re", "functional": "GGA-PBE", "state": "optimized geometry", "final_energy_ev_per_atom": -6.367, "crystal_system": "tetragonal", "sg": "I-4m2", "de_polymorph_ev_per_atom": 0.392, "cell": [[-4.2042, -0.4989, -3.2559], [1.8457, -1.3658, -4.8221], [0.9424, -2.1169, 4.8120]], "species": ["Sc", "Sc", "Re", "Ca"], "fractional_positions": [[0.0000, 0.0000, 0.0000], [0.2500, 0.7500, 0.5000], [0.7500, 0.2500, 0.5000], [0.5000, 0.5000, 0.0000]]}

No. 4
{"formula": "Sr2CaScRe", "functional": "GGA-PBE", "state": "optimized geometry", "final_energy_ev_per_atom": -2.730, "crystal_system": "tetragonal", "sg": "P4/mmm", "cell": [[-1.0874, -1.1152, -5.3913], [5.0051, 0.1152, -1.0333], [0.3469, -5.4984, 1.0674]], "species": ["Sc", "Re", "Ca", "Sr", "Sr"], "fractional_positions": [[0.0000, 0.5000, 0.0000], [0.5000, 0.5000, 0.5000], [0.0000, 0.0000, 0.0000], [0.0000, 0.0000, 0.5000], [0.5000, 0.0000, 0.0000]]}

No. 5
{"formula": "CaScReW2", "functional": "GGA-PBE", "state": "optimized geometry", "final_energy_ev_per_atom": -6.546, "crystal_system": "tetragonal", "sg": "P4/mmm", "cell": [[4.6001, 0.0000, 0.0000], [0.0000, 4.3826, 0.0000], [0.0000, 0.0000, 4.6001]], "species": ["Sc", "Re", "Ca", "W", "W"], "fractional_positions": [[0.0000, 0.5000, 0.0000], [0.5000, 0.5000, 0.5000], [0.0000, 0.0000, 0.0000], [0.0000, 0.0000, 0.5000], [0.5000, 0.0000, 0.0000]]}

No. 6
{"formula": "CaReSe2", "functional": "GGA-PBE", "state": "optimized geometry", "final_energy_ev_per_atom": -5.610, "crystal_system": "monoclinic", "sg": "P2/m", "formation_energy_uncorrected_kcal_per_mol_atoms": -5.9, "de_polymorph_ev_per_atom": 0.251, "cell": [[3.8686, 0.0000, 0.0000], [0.0000, 3.3705, -0.0377], [0.0000, 0.0625, 6.5093]], "species": ["Re", "Ca", "Se", "Se"], "fractional_positions": [[0.5000, 0.7500, 0.7500], [0.5000, 0.2500, 0.2500], [0.0000, 0.7576, 0.9909], [0.0000, 0.7424, 0.5091]]}